Entry from the Alexandria database: a geometry-optimized TcS2NCl structure (GGA-PBE).

Properties
N(E_F) = 4.3 states/eV per cell
ΔE to the lowest computed polymorph = 0.000 eV/atom
V = 17.0 A^3/atom
Crystal system = tetragonal
ΔE_f (raw) = 0.50 eV/atom
Space group = No. 123

Unit cell a=4.7614 b=4.7614 c=3.7574 alpha=90.00 beta=90.00 gamma=90.00
Closest atoms and distances in Å follow each position.
Element x y z (fractional)
N 0.0000 0.0000 0.5000  2 Tc 1.88
Cl 0.5000 0.5000 0.5000  8 S 3.03, 4 N 3.37
S 0.5000 0.0000 0.0000  2 Tc 2.38
Tc 0.0000 0.0000 0.0000  2 N 1.88
S 0.0000 0.5000 0.0000  2 Tc 2.38